Entry 1:
This record from Alexandria describes an optimized crystal structure of CaBeRh2. The functional is PBE.

abc: 5.3539 5.3539 5.3539
angles: 147.18 131.39 59.90
With the nearest neighbours (Å) after each atom.
Element x y z (fractional)
1 Ca 0.0000 0.0000 0.0000  6 Rh 2.69-2.97, 2 Be 2.98
2 Be 0.2762 0.7762 0.5000  2 Rh 2.33
3 Rh 0.4670 0.4670 0.0000  2 Be 2.33
4 Rh 0.7243 0.2243 0.5000  4 Be 2.72, 4 Rh 2.83-3.03, 4 Ca 2.97-3.03

Summary:
As for the calculated formation energy: -0.08 eV/atom.

***

Entry 2:
This record from Alexandria describes an optimized crystal structure of LaPSe2. The functional is PBE.

abc: 6.5629 6.5629 4.2545
angles: 101.77 101.77 35.10
With the nearest neighbours (Å) after each atom.
Element x y z (fractional)
1 La 0.0000 0.0000 0.0000  6 Se 2.96-3.20
2 P 0.2707 0.2707 0.0213  2 Se 2.42
3 Se 0.5620 0.5620 0.5521  4 La 2.96-3.04
4 Se 0.8151 0.8151 0.3526  2 P 2.42

Summary:
For the uncorrected formation energy, the calculation gives -0.972 eV per atom.

***

Entry 3:
This record from Alexandria describes an optimized crystal structure of Cs2TaInI6. The functional is PBE.

abc: 8.7330 8.7330 8.7330
angles: 60.00 60.00 60.00
With the nearest neighbours (Å) after each atom.
Element x y z (fractional)
1 Cs 0.2500 0.2500 0.2500  12 I 4.37
2 Cs 0.7500 0.7500 0.7500  12 I 4.37
3 Ta 0.0000 0.0000 0.0000  6 I 2.85
4 In 0.5000 0.5000 0.5000  6 I 3.33
5 I 0.2307 0.2307 0.7693  1 Ta 2.85
6 I 0.2307 0.7693 0.2307  1 Ta 2.85
7 I 0.2307 0.7693 0.7693  1 Ta 2.85
8 I 0.7693 0.2307 0.2307  1 Ta 2.85
9 I 0.7693 0.2307 0.7693  1 Ta 2.85
10 I 0.7693 0.7693 0.2307  1 Ta 2.85

Summary:
For the uncorrected formation energy, the calculation gives -0.781 eV per atom.

***

no.,uncorrected energy (eV for the cell shown),DOS(E_F) (states/eV/f.u.)
1,-20.75,3.7
2,-21.20,0.6
3,-33.40,8.9